# 1
16
Lattice="5.463 0.000 0.000 0.000 5.463 0.000 0.000 0.000 5.463" Properties=species:S:1:pos:R:3 comment="CaH4Pd3 GGA-PBE optimized geometry" crystal_system=cubic total_magnetization_mub_per_cell=0.00 dft_energy_ev_per_fu=-33.5 space_group="Pm-3n, No. 223" pbc="T T T"
Ca 0.000 0.000 0.000
Ca 2.732 2.732 2.732
H 1.366 1.366 1.366
H 1.366 1.366 4.097
H 1.366 4.097 1.366
H 1.366 4.097 4.097
H 4.097 1.366 1.366
H 4.097 1.366 4.097
H 4.097 4.097 1.366
H 4.097 4.097 4.097
Pd 0.000 1.366 2.732
Pd 0.000 4.097 2.732
Pd 1.366 2.732 0.000
Pd 2.732 0.000 1.366
Pd 2.732 0.000 4.097
Pd 4.097 2.732 0.000

=====

# 2
4
Lattice="0.000 3.401 3.401 3.401 0.000 3.401 3.401 3.401 0.000" Properties=species:S:1:pos:R:3 comment="CeMgGaIr GGA-PBE optimized geometry" crystal_system=cubic total_magnetization_mub_per_cell=0.00 dft_energy_ev_per_fu=-21.2 formation_energy_mev_per_atom=-455 space_group="F-43m, No. 216" pbc="T T T"
Ce 0.000 0.000 0.000
Mg 3.401 3.401 3.401
Ga 1.700 1.700 1.700
Ir 5.101 5.101 5.101

=====

# 3
8
Lattice="3.585 -2.385 0.000 3.585 2.385 0.000 -2.034 0.000 6.097" Properties=species:S:1:pos:R:3 comment="FeNi6Mo GGA-PBE optimized geometry" crystal_system=monoclinic total_magnetization_mub_per_cell=4.14 dft_energy_ev_per_fu=-51.7 formation_energy_mev_per_atom=282 space_group="C2/m, No. 12" pbc="T T T"
Fe 0.000 0.000 0.000
Ni 0.734 1.155 4.269
Ni 2.452 0.000 0.405
Ni 4.402 1.155 1.829
Ni 0.734 -1.155 4.269
Ni 2.684 0.000 5.693
Ni 4.402 -1.155 1.829
Mo 2.568 0.000 3.049